Computed, not measured: RbMoNO2 after structural relaxation at the PBE with a Hubbard U level of DFT.

Cell lengths 3.9042, 3.9042, 8.6867 Å; angles 90.00, 90.00, 90.00 degrees
Closest atoms and distances in Å follow each position.
Fractional positions:
Rb: 0.0000 0.0000 0.0000  4 N 2.76
Mo: 0.0000 0.0000 0.5000  4 O 1.95
N: 0.5000 0.5000 0.0000  4 Rb 2.76
O: 0.0000 0.5000 0.5000  2 Mo 1.95
O: 0.5000 0.0000 0.5000  2 Mo 1.95

Summary:
uncorrected energy	-5.090	eV/atom